(1)
Density functional theory data (PBE) for a geometry-optimized LaRu4 structure.

Cell and atoms, written as POSCAR:
```
LaRu4
1.0
-3.262 3.262 1.992
3.262 -3.262 1.992
3.262 3.262 -1.992
La Ru
1 4
direct
0.000 0.000 0.000 La
0.175 0.408 0.583 Ru
0.408 0.825 0.232 Ru
0.592 0.175 0.768 Ru
0.825 0.592 0.417 Ru
```

## Properties
ΔE_f, eV/atom: 0.313
Raw total energy, eV/atom: -8.09
Space-group type: No. 87

---

(2)
Density functional theory data (PBE) for a geometry-optimized LiCd14Pb structure.

Cell and atoms, written as POSCAR:
```
LiCd14Pb
1.0
6.430 0.000 0.000
0.000 6.430 0.000
0.000 0.000 8.887
Li Cd Pb
1 14 1
direct
0.000 0.000 0.000 Li
0.000 0.000 0.500 Cd
0.000 0.500 0.000 Cd
0.000 0.500 0.500 Cd
0.241 0.241 0.254 Cd
0.241 0.241 0.746 Cd
0.241 0.759 0.254 Cd
0.241 0.759 0.746 Cd
0.500 0.000 0.000 Cd
0.500 0.000 0.500 Cd
0.500 0.500 0.500 Cd
0.759 0.241 0.254 Cd
0.759 0.241 0.746 Cd
0.759 0.759 0.254 Cd
0.759 0.759 0.746 Cd
0.500 0.500 0.000 Pb
```

## Properties
ΔE_f, eV/atom: -0.012
Raw total energy, eV/atom: -1.16
Space-group type: No. 123

---

(3)
Density functional theory data (PBE) for a geometry-optimized MnCdW2 structure.

Cell and atoms, written as POSCAR:
```
MnCdW2
1.0
1.619 -2.195 0.000
1.619 2.195 0.000
0.000 0.000 8.985
Mn Cd W
1 1 2
direct
0.000 0.000 0.000 Mn
0.000 0.000 0.500 Cd
0.500 0.500 0.221 W
0.500 0.500 0.779 W
```

## Properties
ΔE_f, eV/atom: 0.407
Raw total energy, eV/atom: -8.59
Space-group type: No. 65

---

(4)
Density functional theory data (PBE) for a geometry-optimized CaBe2Ni2 structure.

Cell and atoms, written as POSCAR:
```
CaBe2Ni2
1.0
-1.929 1.929 4.624
1.929 -1.929 4.624
1.929 1.929 -4.624
Ca Be Ni
1 2 2
direct
0.000 0.000 0.000 Ca
0.250 0.750 0.500 Be
0.750 0.250 0.500 Be
0.364 0.364 0.000 Ni
0.636 0.636 0.000 Ni
```

## Properties
ΔE_f, eV/atom: -0.097
Raw total energy, eV/atom: -4.30
Space-group type: No. 139

---

(5)
Density functional theory data (PBE) for a geometry-optimized Ho4Au structure.

Cell and atoms, written as POSCAR:
```
Ho4Au
1.0
5.527 0.000 0.000
0.000 5.527 0.000
0.000 0.000 5.527
Ho Au
4 1
direct
0.000 0.000 0.000 Ho
0.000 0.500 0.500 Ho
0.500 0.000 0.500 Ho
0.500 0.500 0.000 Ho
0.500 0.500 0.500 Au
```

## Properties
ΔE_f, eV/atom: -0.016
Raw total energy, eV/atom: -4.33
Space-group type: No. 221

---

(6)
Density functional theory data (PBE) for a geometry-optimized SiSeIN2 structure.

Cell and atoms, written as POSCAR:
```
SiSeIN2
1.0
3.882 0.000 0.000
0.000 3.882 0.000
0.000 0.000 7.406
Si Se I N
1 1 1 2
direct
0.000 0.000 0.000 Si
0.500 0.500 0.500 Se
0.500 0.500 0.000 I
0.000 0.500 0.500 N
0.500 0.000 0.500 N
```

## Properties
Raw total energy, eV/atom: -3.64
Space-group type: No. 123

---

(7)
Density functional theory data (PBE) for a geometry-optimized SrTiBe structure.

Cell and atoms, written as POSCAR:
```
SrTiBe
1.0
4.173 0.000 0.000
-2.085 3.782 0.000
-0.012 -2.414 10.152
Sr Ti Be
2 2 2
direct
0.000 0.000 0.000 Sr
0.202 0.401 0.627 Sr
0.049 0.092 0.313 Ti
0.751 0.496 0.313 Ti
0.376 0.747 0.212 Be
0.442 0.878 0.415 Be
```

## Properties
ΔE_f, eV/atom: 0.273
Raw total energy, eV/atom: -4.16
Space-group type: No. 1

---

(8)
Density functional theory data (PBE) for a geometry-optimized SrNb3B structure.

Cell and atoms, written as POSCAR:
```
SrNb3B
1.0
4.622 0.000 0.000
0.000 4.622 0.000
0.000 0.000 4.622
Sr Nb B
1 3 1
direct
0.000 0.000 0.000 Sr
0.000 0.500 0.500 Nb
0.500 0.000 0.500 Nb
0.500 0.500 0.000 Nb
0.500 0.500 0.500 B
```

## Properties
ΔE_f, eV/atom: 0.565
Raw total energy, eV/atom: -7.15
Space-group type: No. 221

---

Volume: 85 367 64 69 169 112 80 99 (Å³/f.u.)